# Pm3PaPt4 | Alexandria via LeMat-Bulk | PBE | relaxed
data_Pm3PaPt4
_cell_length_a 7.214
_cell_length_b 8.329
_cell_length_c 7.132
_cell_angle_alpha 90.00
_cell_angle_beta 109.59
_cell_angle_gamma 90.00
_space_group_name_H-M_alt 'P 1'
_space_group_IT_number 1
_space_group_name_Hall 'P 1'
loop_
_atom_site_label
_atom_site_type_symbol
_atom_site_fract_x
_atom_site_fract_y
_atom_site_fract_z
Pm1 Pm 0.000 0.123 0.250
Pm2 Pm 0.000 0.373 0.750
Pm3 Pm 0.000 0.627 0.250
Pm4 Pm 0.000 0.877 0.750
Pm5 Pm 0.500 0.126 0.750
Pm6 Pm 0.500 0.874 0.250
Pa1 Pa 0.500 0.376 0.250
Pa2 Pa 0.500 0.624 0.750
Pt1 Pt 0.259 0.135 0.012
Pt2 Pt 0.259 0.865 0.512
Pt3 Pt 0.266 0.384 0.497
Pt4 Pt 0.266 0.616 0.997
Pt5 Pt 0.734 0.384 0.003
Pt6 Pt 0.734 0.616 0.503
Pt7 Pt 0.741 0.135 0.488
Pt8 Pt 0.741 0.865 0.988
# ρ = 11.9 g cm⁻³
# Magnetic moment = 0.00 μB per formula unit
# Volume = 25.232 Å³ per atom
# Calculated total energy = -112.68 eV for the cell shown